A geometry-optimized HgPb2W structure, computed with GGA-PBE.

Values from the calculation:
- D(E_F) (states/eV/cell) = 5.6
- total magnetization (Bohr magnetons per cell) = 3.658
- total DFT energy (no corrections) (eV per atom) = -4.038

Lattice parameters (Å, degrees): 10.7353 10.7353 10.7353 156.03 156.03 34.15
Last column: nearest neighbours and their distance in Å.
Atoms (fractional coordinates):
Hg (0.0000, 0.0000, 0.0000)  4 Pb 3.03, 4 W 3.15
Hg (0.7500, 0.2500, 0.5000)  4 Pb 3.03, 4 W 3.15
Pb (0.1366, 0.6250, 0.0116)  2 W 2.99, 2 Hg 3.03, 4 Pb 3.08-3.23
Pb (0.3750, 0.3866, 0.5116)  2 W 2.99, 2 Hg 3.03, 4 Pb 3.08-3.23
Pb (0.6134, 0.1250, 0.9884)  2 W 2.99, 2 Hg 3.03, 4 Pb 3.08-3.23
Pb (0.8750, 0.8634, 0.4884)  2 W 2.99, 2 Hg 3.03, 4 Pb 3.08-3.23
W (0.2500, 0.7500, 0.5000)  4 Pb 2.99, 4 Hg 3.15
W (0.5000, 0.5000, 0.0000)  4 Pb 2.99, 4 Hg 3.15